(1)
# SbOsAu

A relaxed SbOsAu crystal (GGA-PBE, the Alexandria database).

Total magnetization (Bohr magnetons per cell): 0.0
Space group: P3m1, No. 156

a = 4.4378 Å, b = 4.4378 Å, c = 3.3501 Å
α = 90.00°, β = 90.00°, γ = 120.00°
Closest atoms and distances in Å follow each position.
Atoms (fractional coordinates):
Sb: 0.0000 0.0000 0.0000  3 Os 2.56
Os: 0.3333 0.6667 0.0102  3 Sb 2.56
Au: 0.6667 0.3333 0.5062  6 Sb 3.05-3.07, 6 Os 3.05-3.07, 2 Au 3.35

---

(2)
# SbOsAu

A relaxed SbOsAu crystal (GGA-PBE, the Alexandria database).

Total magnetization (Bohr magnetons per cell): 0.0
Space group: Fmm2, No. 42

a = 8.2417 Å, b = 7.9935 Å, c = 2.9490 Å
α = 84.32°, β = 74.82°, γ = 20.86°
Closest atoms and distances in Å follow each position.
Atoms (fractional coordinates):
Sb: 0.0000 0.0000 0.0000  2 Os 2.66, 4 Sb 2.95
Os: 0.6390 0.6390 0.3610  2 Sb 2.66, 2 Au 2.83, 4 Os 2.95
Au: 0.2911 0.2911 0.7089  2 Os 2.83, 6 Au 2.95-3.06

---

(3)
# SbOsAu

A relaxed SbOsAu crystal (GGA-PBE, the Alexandria database).

Total magnetization (Bohr magnetons per cell): 0.0
Space group: I4mm, No. 107

a = 5.6418 Å, b = 5.6418 Å, c = 5.6418 Å
α = 146.05°, β = 146.05°, γ = 48.77°
Closest atoms and distances in Å follow each position.
Atoms (fractional coordinates):
Sb: 0.0000 0.0000 0.0000  4 Os 2.71
Os: 0.6347 0.6347 0.0000  4 Sb 2.71, 4 Au 2.95
Au: 0.3103 0.3103 0.0000  4 Os 2.95, 5 Sb 3.04-3.19, 4 Au 3.29

---

It is (3) that is the most stable of them.

---

(1)
# Sb2OsAu

A relaxed Sb2OsAu crystal (GGA-PBE, the Alexandria database).

Total magnetization (Bohr magnetons per cell): 0.0
Space group: Imm2, No. 44

a = 7.0564 Å, b = 7.0564 Å, c = 7.0564 Å
α = 154.27°, β = 145.21°, γ = 43.77°
Closest atoms and distances in Å follow each position.
Atoms (fractional coordinates):
Sb: 0.0000 0.0000 0.0000  4 Os 2.73, 2 Au 2.94
Sb: 0.7238 0.2238 0.5000  2 Os 2.70
Os: 0.5565 0.5565 0.0000  6 Sb 2.70-2.73
Au: 0.3437 0.8437 0.5000  6 Sb 2.94-3.06, 2 Au 3.14, 2 Os 3.20

---

(2)
# Sb2OsAu

A relaxed Sb2OsAu crystal (GGA-PBE, the Alexandria database).

Total magnetization (Bohr magnetons per cell): 0.0
Space group: Fm-3m, No. 225

a = 4.8253 Å, b = 4.8253 Å, c = 4.8253 Å
α = 60.00°, β = 60.00°, γ = 60.00°
Closest atoms and distances in Å follow each position.
Atoms (fractional coordinates):
Sb: 0.2500 0.2500 0.2500  4 Os 2.95, 4 Au 2.95
Sb: 0.7500 0.7500 0.7500  4 Os 2.95, 4 Au 2.95
Os: 0.0000 0.0000 0.0000  8 Sb 2.95
Au: 0.5000 0.5000 0.5000  8 Sb 2.95

---

(3)
# Sb2OsAu

A relaxed Sb2OsAu crystal (GGA-PBE, the Alexandria database).

Total magnetization (Bohr magnetons per cell): 0.0
Space group: I-4m2, No. 119

a = 5.5182 Å, b = 5.5182 Å, c = 5.5182 Å
α = 135.98°, β = 135.98°, γ = 64.01°
Closest atoms and distances in Å follow each position.
Atoms (fractional coordinates):
Sb: 0.0000 0.0000 0.0000  4 Os 2.92, 4 Sb 3.12, 4 Au 3.12
Sb: 0.7500 0.2500 0.5000  4 Au 2.92, 4 Sb 3.12, 4 Os 3.12
Os: 0.5000 0.5000 0.0000  8 Sb 2.92-3.12, 4 Au 3.12
Au: 0.2500 0.7500 0.5000  8 Sb 2.92-3.12, 4 Os 3.12

---

(4)
# Sb2OsAu

A relaxed Sb2OsAu crystal (GGA-PBE, the Alexandria database).

Total magnetization (Bohr magnetons per cell): 0.0
Space group: C2/m, No. 12

a = 3.7382 Å, b = 3.7382 Å, c = 7.8908 Å
α = 102.55°, β = 102.55°, γ = 53.88°
Closest atoms and distances in Å follow each position.
Atoms (fractional coordinates):
Sb: 0.2488 0.2488 0.2227  3 Os 2.70-2.71, 2 Au 2.94
Sb: 0.7512 0.7512 0.7773  3 Os 2.70-2.71, 2 Au 2.94
Os: 0.5000 0.5000 0.0000  6 Sb 2.70-2.71
Au: 0.0000 0.0000 0.5000  6 Sb 2.94-3.05

---

It is (4) that is the most stable of them.